Entry 1:
! PBE Na6Tl3Pd, relaxed; values from VASP
&SYSTEM
  ibrav = 0, nat = 20, ntyp = 3
/
ATOMIC_SPECIES
Na 22.99 Na.upf
Tl 204.38 Tl.upf
Pd 106.42 Pd.upf
ATOMIC_POSITIONS crystal
Na 0.010 0.858 0.304
Na 0.142 0.696 0.990
Na 0.194 0.642 0.479
Na 0.304 0.010 0.858
Na 0.358 0.521 0.806
Na 0.479 0.194 0.642
Na 0.521 0.806 0.358
Na 0.642 0.479 0.194
Na 0.696 0.990 0.142
Na 0.806 0.358 0.521
Na 0.858 0.304 0.010
Na 0.990 0.142 0.696
Tl 0.118 0.251 0.383
Tl 0.251 0.383 0.118
Tl 0.383 0.118 0.251
Tl 0.617 0.882 0.749
Tl 0.749 0.617 0.882
Tl 0.882 0.749 0.617
Pd 0.000 0.000 0.000
Pd 0.500 0.500 0.500
CELL_PARAMETERS angstrom
7.177 4.144 3.121
-7.177 4.144 3.121
0.000 -8.287 3.121
! ΔH_f (0 K) in meV/atom: -124
! Space group: No. 148
! Theoretical density in kg/m3: 5114
! M_tot in μB per cell: 0.0
! DOS at the Fermi energy in states/eV/cell: 5.24

Entry 2:
! PBE Na7Tl2Pd2, relaxed; values from VASP
&SYSTEM
  ibrav = 0, nat = 11, ntyp = 3
/
ATOMIC_SPECIES
Na 22.99 Na.upf
Tl 204.38 Tl.upf
Pd 106.42 Pd.upf
ATOMIC_POSITIONS crystal
Na 0.000 0.000 0.000
Na 0.142 0.574 0.859
Na 0.147 0.147 0.647
Na 0.426 0.858 0.141
Na 0.574 0.142 0.859
Na 0.853 0.853 0.353
Na 0.858 0.426 0.141
Tl 0.351 0.351 0.353
Tl 0.649 0.649 0.647
Pd 0.262 0.738 0.500
Pd 0.738 0.262 0.500
CELL_PARAMETERS angstrom
6.452 -4.680 0.000
6.452 4.680 0.000
-2.104 0.000 4.788
! ΔH_f (0 K) in meV/atom: -70
! Space group: No. 12
! Theoretical density in kg/m3: 4495
! M_tot in μB per cell: 0.0
! DOS at the Fermi energy in states/eV/cell: 5.30

Entry 3:
! PBE NaTl6Pd, relaxed; values from VASP
&SYSTEM
  ibrav = 0, nat = 16, ntyp = 3
/
ATOMIC_SPECIES
Na 22.99 Na.upf
Tl 204.38 Tl.upf
Pd 106.42 Pd.upf
ATOMIC_POSITIONS crystal
Na 0.000 0.000 0.000
Na 0.000 0.500 0.500
Tl 0.000 0.000 0.495
Tl 0.000 0.194 0.786
Tl 0.000 0.306 0.286
Tl 0.000 0.500 0.995
Tl 0.000 0.694 0.286
Tl 0.000 0.806 0.786
Tl 0.500 0.000 0.256
Tl 0.500 0.247 0.045
Tl 0.500 0.253 0.545
Tl 0.500 0.500 0.756
Tl 0.500 0.747 0.545
Tl 0.500 0.753 0.045
Pd 0.500 0.000 0.691
Pd 0.500 0.500 0.191
CELL_PARAMETERS angstrom
3.682 0.000 0.000
0.000 10.426 0.000
0.000 0.000 11.544
! ΔH_f (0 K) in meV/atom: -34
! Space group: No. 38
! Theoretical density in kg/m3: 10161
! M_tot in μB per cell: 0.0
! DOS at the Fermi energy in states/eV/cell: 7.87

Entry 4:
! PBE Na4Tl16Pd3, relaxed; values from VASP
&SYSTEM
  ibrav = 0, nat = 23, ntyp = 3
/
ATOMIC_SPECIES
Na 22.99 Na.upf
Tl 204.38 Tl.upf
Pd 106.42 Pd.upf
ATOMIC_POSITIONS crystal
Na 0.000 0.500 0.191
Na 0.000 0.500 0.809
Na 0.500 0.000 0.191
Na 0.500 0.000 0.809
Tl 0.000 0.000 0.197
Tl 0.000 0.000 0.803
Tl 0.225 0.225 0.000
Tl 0.225 0.775 0.000
Tl 0.248 0.248 0.378
Tl 0.248 0.248 0.622
Tl 0.248 0.752 0.378
Tl 0.248 0.752 0.622
Tl 0.500 0.500 0.211
Tl 0.500 0.500 0.789
Tl 0.752 0.248 0.378
Tl 0.752 0.248 0.622
Tl 0.752 0.752 0.378
Tl 0.752 0.752 0.622
Tl 0.775 0.225 0.000
Tl 0.775 0.775 0.000
Pd 0.000 0.500 0.500
Pd 0.500 0.000 0.500
Pd 0.500 0.500 0.000
CELL_PARAMETERS angstrom
6.987 0.000 0.000
0.000 6.987 0.000
0.000 0.000 13.066
! ΔH_f (0 K) in meV/atom: -89
! Space group: No. 123
! Theoretical density in kg/m3: 9582
! M_tot in μB per cell: 0.0
! DOS at the Fermi energy in states/eV/cell: 6.23

Entry 5:
! PBE Na3Tl2Pd3, relaxed; values from VASP
&SYSTEM
  ibrav = 0, nat = 8, ntyp = 3
/
ATOMIC_SPECIES
Na 22.99 Na.upf
Tl 204.38 Tl.upf
Pd 106.42 Pd.upf
ATOMIC_POSITIONS crystal
Na 0.000 0.000 0.000
Na 0.431 0.431 0.431
Na 0.569 0.569 0.569
Tl 0.278 0.278 0.278
Tl 0.722 0.722 0.722
Pd 0.000 0.000 0.500
Pd 0.000 0.500 0.000
Pd 0.500 0.000 0.000
CELL_PARAMETERS angstrom
2.773 1.601 6.875
-2.773 1.601 6.875
0.000 -3.203 6.875
! ΔH_f (0 K) in meV/atom: -167
! Space group: No. 166
! Theoretical density in kg/m3: 7224
! M_tot in μB per cell: 0.0
! DOS at the Fermi energy in states/eV/cell: 5.08

Entry 6:
! PBE Na3Tl4Pd2, relaxed; values from VASP
&SYSTEM
  ibrav = 0, nat = 9, ntyp = 3
/
ATOMIC_SPECIES
Na 22.99 Na.upf
Tl 204.38 Tl.upf
Pd 106.42 Pd.upf
ATOMIC_POSITIONS crystal
Na 0.000 0.000 0.000
Na 0.394 0.394 0.299
Na 0.606 0.606 0.701
Tl 0.094 0.094 0.362
Tl 0.307 0.307 0.907
Tl 0.693 0.693 0.093
Tl 0.906 0.906 0.638
Pd 0.274 0.274 0.595
Pd 0.726 0.726 0.405
CELL_PARAMETERS angstrom
5.622 -2.360 0.000
5.622 2.360 0.000
-0.456 0.000 8.831
! ΔH_f (0 K) in meV/atom: -157
! Space group: No. 12
! Theoretical density in kg/m3: 7790
! M_tot in μB per cell: 0.0
! DOS at the Fermi energy in states/eV/cell: 2.88

Entry 7:
! PBE Na2Tl2Pd, relaxed; values from VASP
&SYSTEM
  ibrav = 0, nat = 10, ntyp = 3
/
ATOMIC_SPECIES
Na 22.99 Na.upf
Tl 204.38 Tl.upf
Pd 106.42 Pd.upf
ATOMIC_POSITIONS crystal
Na 0.173 0.327 0.000
Na 0.327 0.827 0.000
Na 0.673 0.173 0.000
Na 0.827 0.673 0.000
Tl 0.151 0.651 0.500
Tl 0.349 0.151 0.500
Tl 0.651 0.849 0.500
Tl 0.849 0.349 0.500
Pd 0.000 0.000 0.500
Pd 0.500 0.500 0.500
CELL_PARAMETERS angstrom
7.243 0.000 0.000
0.000 7.243 0.000
0.000 0.000 5.160
! ΔH_f (0 K) in meV/atom: -98
! Space group: No. 127
! Theoretical density in kg/m3: 6884
! Excess energy over the best structure of this formula in the dataset in meV/atom: 15
! M_tot in μB per cell: 0.0
! DOS at the Fermi energy in states/eV/cell: 4.66

Entry 8:
! PBE NaTl4Pd4, relaxed; values from VASP
&SYSTEM
  ibrav = 0, nat = 18, ntyp = 3
/
ATOMIC_SPECIES
Na 22.99 Na.upf
Tl 204.38 Tl.upf
Pd 106.42 Pd.upf
ATOMIC_POSITIONS crystal
Na 0.250 0.750 0.250
Na 0.750 0.250 0.750
Tl 0.015 0.250 0.041
Tl 0.250 0.015 0.541
Tl 0.250 0.485 0.541
Tl 0.485 0.250 0.041
Tl 0.515 0.750 0.959
Tl 0.750 0.515 0.459
Tl 0.750 0.985 0.459
Tl 0.985 0.750 0.959
Pd 0.034 0.250 0.330
Pd 0.250 0.034 0.830
Pd 0.250 0.466 0.830
Pd 0.466 0.250 0.330
Pd 0.534 0.750 0.670
Pd 0.750 0.534 0.170
Pd 0.750 0.966 0.170
Pd 0.966 0.750 0.670
CELL_PARAMETERS angstrom
6.511 0.000 0.000
0.000 6.511 0.000
0.000 0.000 9.606
! ΔH_f (0 K) in meV/atom: -100
! Space group: No. 137
! Theoretical density in kg/m3: 10328
! Excess energy over the best structure of this formula in the dataset in meV/atom: 0
! M_tot in μB per cell: 0.0
! DOS at the Fermi energy in states/eV/cell: 11.64

Entry 9:
! PBE Na3TlPd, relaxed; values from VASP
&SYSTEM
  ibrav = 0, nat = 20, ntyp = 3
/
ATOMIC_SPECIES
Na 22.99 Na.upf
Tl 204.38 Tl.upf
Pd 106.42 Pd.upf
ATOMIC_POSITIONS crystal
Na 0.001 0.011 0.155
Na 0.001 0.489 0.655
Na 0.213 0.503 0.053
Na 0.213 0.997 0.553
Na 0.371 0.732 0.841
Na 0.371 0.768 0.341
Na 0.629 0.232 0.659
Na 0.629 0.268 0.159
Na 0.787 0.003 0.447
Na 0.787 0.497 0.947
Na 0.999 0.511 0.345
Na 0.999 0.989 0.845
Tl 0.375 0.236 0.842
Tl 0.375 0.264 0.342
Tl 0.625 0.736 0.658
Tl 0.625 0.764 0.158
Pd 0.327 0.027 0.080
Pd 0.327 0.473 0.580
Pd 0.673 0.527 0.420
Pd 0.673 0.973 0.920
CELL_PARAMETERS angstrom
8.424 0.000 0.000
0.000 6.338 0.000
-3.020 0.000 9.654
! ΔH_f (0 K) in meV/atom: -122
! Space group: No. 14
! Theoretical density in kg/m3: 4894
! Excess energy over the best structure of this formula in the dataset in meV/atom: 0
! M_tot in μB per cell: 0.0
! DOS at the Fermi energy in states/eV/cell: 5.28

Entry 10:
! PBE Na3Tl2Pd4, relaxed; values from VASP
&SYSTEM
  ibrav = 0, nat = 9, ntyp = 3
/
ATOMIC_SPECIES
Na 22.99 Na.upf
Tl 204.38 Tl.upf
Pd 106.42 Pd.upf
ATOMIC_POSITIONS crystal
Na 0.000 0.000 0.000
Na 0.369 0.369 0.606
Na 0.631 0.631 0.394
Tl 0.324 0.324 0.233
Tl 0.676 0.676 0.767
Pd 0.078 0.078 0.633
Pd 0.262 0.262 0.914
Pd 0.738 0.738 0.086
Pd 0.922 0.922 0.367
CELL_PARAMETERS angstrom
5.119 -2.308 0.000
5.119 2.308 0.000
-1.096 0.000 8.765
! ΔH_f (0 K) in meV/atom: -161
! Space group: No. 12
! Theoretical density in kg/m3: 7245
! Excess energy over the best structure of this formula in the dataset in meV/atom: 0
! M_tot in μB per cell: 0.0
! DOS at the Fermi energy in states/eV/cell: 2.81

Entry 11:
! PBE NaTlPd2, relaxed; values from VASP
&SYSTEM
  ibrav = 0, nat = 16, ntyp = 3
/
ATOMIC_SPECIES
Na 22.99 Na.upf
Tl 204.38 Tl.upf
Pd 106.42 Pd.upf
ATOMIC_POSITIONS crystal
Na 0.000 0.000 0.000
Na 0.000 0.500 0.250
Na 0.500 0.000 0.750
Na 0.500 0.500 0.500
Tl 0.000 0.000 0.500
Tl 0.000 0.500 0.750
Tl 0.500 0.000 0.250
Tl 0.500 0.500 0.000
Pd 0.237 0.750 0.625
Pd 0.250 0.237 0.375
Pd 0.250 0.263 0.875
Pd 0.263 0.750 0.125
Pd 0.737 0.250 0.125
Pd 0.750 0.737 0.875
Pd 0.750 0.763 0.375
Pd 0.763 0.250 0.625
CELL_PARAMETERS angstrom
7.567 0.000 0.000
0.000 7.567 0.000
0.000 0.000 5.841
! ΔH_f (0 K) in meV/atom: 58
! Space group: No. 122
! Theoretical density in kg/m3: 8743
! M_tot in μB per cell: 0.0
! DOS at the Fermi energy in states/eV/cell: 3.31

Entry 12:
! PBE NaTl6Pd12, relaxed; values from VASP
&SYSTEM
  ibrav = 0, nat = 19, ntyp = 3
/
ATOMIC_SPECIES
Na 22.99 Na.upf
Tl 204.38 Tl.upf
Pd 106.42 Pd.upf
ATOMIC_POSITIONS crystal
Na 0.000 0.000 0.000
Tl 0.092 0.465 0.207
Tl 0.207 0.092 0.465
Tl 0.465 0.207 0.092
Tl 0.535 0.793 0.908
Tl 0.793 0.908 0.535
Tl 0.908 0.535 0.793
Pd 0.129 0.273 0.833
Pd 0.167 0.871 0.727
Pd 0.180 0.481 0.595
Pd 0.273 0.833 0.129
Pd 0.405 0.820 0.519
Pd 0.481 0.595 0.180
Pd 0.519 0.405 0.820
Pd 0.595 0.180 0.481
Pd 0.727 0.167 0.871
Pd 0.820 0.519 0.405
Pd 0.833 0.129 0.273
Pd 0.871 0.727 0.167
CELL_PARAMETERS angstrom
6.116 3.531 2.784
-6.116 3.531 2.784
0.000 -7.062 2.784
! ΔH_f (0 K) in meV/atom: -129
! Space group: No. 148
! Theoretical density in kg/m3: 11630
! M_tot in μB per cell: 0.0
! DOS at the Fermi energy in states/eV/cell: 7.64

Among the records above, which one has the lowest ΔH_f (0 K)?
Na3Tl2Pd3

Which value of theoretical density does entry 10 give?
7245 kg/m3

Please write out number 3 again, unchanged.
! PBE NaTl6Pd, relaxed; values from VASP
&SYSTEM
  ibrav = 0, nat = 16, ntyp = 3
/
ATOMIC_SPECIES
Na 22.99 Na.upf
Tl 204.38 Tl.upf
Pd 106.42 Pd.upf
ATOMIC_POSITIONS crystal
Na 0.000 0.000 0.000
Na 0.000 0.500 0.500
Tl 0.000 0.000 0.495
Tl 0.000 0.194 0.786
Tl 0.000 0.306 0.286
Tl 0.000 0.500 0.995
Tl 0.000 0.694 0.286
Tl 0.000 0.806 0.786
Tl 0.500 0.000 0.256
Tl 0.500 0.247 0.045
Tl 0.500 0.253 0.545
Tl 0.500 0.500 0.756
Tl 0.500 0.747 0.545
Tl 0.500 0.753 0.045
Pd 0.500 0.000 0.691
Pd 0.500 0.500 0.191
CELL_PARAMETERS angstrom
3.682 0.000 0.000
0.000 10.426 0.000
0.000 0.000 11.544
! ΔH_f (0 K) in meV/atom: -34
! Space group: No. 38
! Theoretical density in kg/m3: 10161
! M_tot in μB per cell: 0.0
! DOS at the Fermi energy in states/eV/cell: 7.87

Which of these has the highest ΔH_f (0 K)?
NaTlPd2